1.
A plane-wave DFT calculation with GGA-PBE was carried out for an optimized crystal structure of Sc6Ag5Rh.

Output
Volume = 19.637 A^3/atom
Energy = -5.358 eV per atom
DOS(E_F) = 9.37 states/eV/cell
Formation energy from the elements = -0.392 eV per atom

abc: 4.7784 6.8510 7.5764
angles: 90.00 108.18 90.00
With the nearest neighbours (Å) after each atom.
Space group P2/m (No. 10)
Symmetry-distinct sites (fractional):
1 Sc 0.0000 0.2360 0.0000 (multiplicity 2)  2 Rh 2.88, 6 Ag 2.96-3.01
2 Sc 0.3407 0.2437 0.6806 (multiplicity 4)  1 Rh 2.84, 7 Ag 2.89-3.05
3 Ag 0.1668 0.5000 0.3345 (multiplicity 2)  8 Sc 2.97-3.05
4 Ag 0.1717 0.0000 0.3444 (multiplicity 2)  8 Sc 2.92-2.96, 1 Ag 3.27
5 Ag 0.5000 0.5000 0.0000 (multiplicity 1)  8 Sc 2.89-3.00
6 Rh 0.5000 0.0000 0.0000 (multiplicity 1)  8 Sc 2.84-2.88



2.
A plane-wave DFT calculation with GGA-PBE was carried out for an optimized crystal structure of CaFe2Re.

Output
Volume = 16.094 A^3/atom
Energy = -7.409 eV per atom
DOS(E_F) = 3.96 states/eV/cell
Formation energy from the elements = 0.435 eV per atom

abc: 2.9006 2.9006 7.6516
angles: 90.00 90.00 90.00
With the nearest neighbours (Å) after each atom.
Space group P4mm (No. 99)
Symmetry-distinct sites (fractional):
1 Ca 0.0000 0.0000 0.0000 (multiplicity 1)  4 Ca 2.90, 4 Fe 3.14, 4 Re 3.17
2 Fe 0.0000 0.0000 0.4878 (multiplicity 1)  4 Fe 2.46, 4 Re 2.54
3 Fe 0.5000 0.5000 0.3110 (multiplicity 1)  4 Fe 2.46
4 Re 0.5000 0.5000 0.6843 (multiplicity 1)  4 Fe 2.54